# 1
# TeP2SI | Alexandria | PBE-GGA | relaxed
data_TeP2SI
_chemical_formula_sum 'Te1 P2 S1 I1'
_symmetry_space_group_name_H-M 'P 4/m m m'
_symmetry_Int_Tables_number 123
_symmetry_space_group_name_Hall '-P 4 2'
_cell_length_a 5.226
_cell_length_b 5.226
_cell_length_c 4.907
_cell_angle_alpha 90.00
_cell_angle_beta 90.00
_cell_angle_gamma 90.00
loop_
_atom_site_label
_atom_site_type_symbol
_atom_site_fract_x
_atom_site_fract_y
_atom_site_fract_z
_atom_site_occupancy
Te1 Te 0.000 0.000 0.000 1
P1 P 0.000 0.500 0.500 1
S1 S 0.500 0.500 0.000 1
I1 I 0.500 0.500 0.500 1
# excess energy over the best structure of this formula in the dataset = 1.38 eV per formula unit
# DFT total energy = -2.587 eV per atom
# energy relative to the elements, uncorrected = 1340 meV per atom


# 2
# Sr2TmAs4Pt3 | Alexandria | PBE-GGA | relaxed
data_Sr2TmAs4Pt3
_chemical_formula_sum 'Sr2 Tm1 As4 Pt3'
_symmetry_space_group_name_H-M 'P -4 m 2'
_symmetry_Int_Tables_number 115
_symmetry_space_group_name_Hall 'P -4 -2'
_cell_length_a 4.486
_cell_length_b 4.486
_cell_length_c 10.888
_cell_angle_alpha 90.00
_cell_angle_beta 90.00
_cell_angle_gamma 90.00
loop_
_atom_site_label
_atom_site_type_symbol
_atom_site_fract_x
_atom_site_fract_y
_atom_site_fract_z
_atom_site_occupancy
Sr1 Sr 0.000 0.500 0.229 1
Tm1 Tm 0.000 0.000 0.500 1
As1 As 0.000 0.000 0.000 1
As2 As 0.000 0.500 0.652 1
As3 As 0.500 0.500 0.000 1
Pt1 Pt 0.000 0.500 0.890 1
Pt2 Pt 0.500 0.500 0.500 1
# DFT total energy = -5.392 eV per atom
# formation energy = -0.936 eV/atom